Entry 1:
VASP calculation (GGA-PBE) on a geometry-optimized PmPuScO6 structure.

Cell lengths 5.544, 5.544, 9.899 Å; angles 90.00, 90.00, 120.00 degrees
Each line ends with the local moment (μB).
Atoms (fractional coordinates):
Pm 0.000 0.000 0.000  0.00
Pm 0.000 0.000 0.500  0.00
Pu 0.667 0.333 0.250  2.44
Pu 0.333 0.667 0.750  2.44
Sc 0.333 0.667 0.250  0.01
Sc 0.667 0.333 0.750  0.01
O 0.649 0.641 0.139  -0.07
O 0.993 0.351 0.139  -0.07
O 0.351 0.993 0.639  -0.07
O 0.007 0.649 0.861  -0.07
O 0.359 0.351 0.361  -0.07
O 0.993 0.641 0.361  -0.07
O 0.641 0.993 0.861  -0.07
O 0.649 0.007 0.361  -0.07
O 0.007 0.359 0.639  -0.07
O 0.359 0.007 0.139  -0.07
O 0.641 0.649 0.639  -0.07
O 0.351 0.359 0.861  -0.07

## Properties
The density of states at the Fermi level comes out at 15.1 states/eV per cell. As for the volume: 131.8 Å³/f.u. The mass density is 6.68 g cm⁻³. Its formation energy without anion corrections is -294.7 kJ/mol of atoms.


Entry 2:
VASP calculation (GGA-PBE) on a geometry-optimized TbSm3Y2Er6 structure.

Cell lengths 6.156, 6.156, 11.744 Å; angles 95.00, 95.00, 119.96 degrees
Atoms (fractional coordinates):
Tb 0.000 0.000 0.000
Sm 0.167 0.833 0.500
Sm 0.833 0.167 0.500
Sm 0.500 0.500 0.500
Y 0.333 0.667 0.000
Y 0.667 0.333 0.000
Er 0.917 0.584 0.751
Er 0.750 0.750 0.249
Er 0.083 0.416 0.249
Er 0.584 0.917 0.751
Er 0.250 0.250 0.751
Er 0.416 0.083 0.249

## Properties
The density of states at the Fermi level comes out at 16.2 states/eV per cell. As for the volume: 379.7 Å³/f.u. The mass density is 7.83 g cm⁻³. For the formation energy, the calculation gives 0.24 eV/f.u.